Entry 1:
Density functional theory data (PBE) for crystalline Tl2IrRh2Se6 at its relaxed geometry.

Structure (CIF):
```
data_Tl2IrRh2Se6
_chemical_formula_sum 'Tl2 Ir1 Rh2 Se6'
_space_group_name_H-M_alt 'P 1'
_space_group_IT_number 1
_space_group_name_Hall 'P 1'
_cell_length_a 6.5989
_cell_length_b 6.5989
_cell_length_c 7.5254
_cell_angle_alpha 98.36
_cell_angle_beta 98.36
_cell_angle_gamma 120.31
loop_
_atom_site_label
_atom_site_type_symbol
_atom_site_fract_x
_atom_site_fract_y
_atom_site_fract_z
Tl1 Tl 0.1638 0.8362 0.0000
Tl2 Tl 0.8362 0.1638 0.0000
Ir1 Ir 0.0000 0.0000 0.5000
Rh1 Rh 0.3303 0.6697 0.5000
Rh2 Rh 0.6697 0.3303 0.5000
Se1 Se 0.0568 0.3896 0.6730
Se2 Se 0.2749 0.2749 0.3256
Se3 Se 0.3896 0.0568 0.6730
Se4 Se 0.6104 0.9432 0.3270
Se5 Se 0.7251 0.7251 0.6744
Se6 Se 0.9432 0.6104 0.3270
```

Results
Energy relative to the elements, uncorrected (eV per formula unit): -4.037
SG: C2/m (12)
VASP energy (eV per atom): -4.84
Total magnetic moment (μB per formula unit): 0.000

***

Entry 2:
Density functional theory data (PBE) for crystalline VIrRh2Se at its relaxed geometry.

Structure (CIF):
```
data_VIrRh2Se
_chemical_formula_sum 'V1 Ir1 Rh2 Se1'
_space_group_name_H-M_alt 'P 1'
_space_group_IT_number 1
_space_group_name_Hall 'P 1'
_cell_length_a 4.5012
_cell_length_b 4.5012
_cell_length_c 4.5760
_cell_angle_alpha 90.00
_cell_angle_beta 90.00
_cell_angle_gamma 90.00
loop_
_atom_site_label
_atom_site_type_symbol
_atom_site_fract_x
_atom_site_fract_y
_atom_site_fract_z
V1 V 0.0000 0.0000 0.0000
Ir1 Ir 0.0000 0.0000 0.5000
Rh1 Rh 0.0000 0.5000 0.0000
Rh2 Rh 0.5000 0.0000 0.0000
Se1 Se 0.5000 0.5000 0.5000
```

Results
Energy relative to the elements, uncorrected (eV per formula unit): 4.936
SG: P4/mmm (123)
VASP energy (eV per atom): -6.25
Total magnetic moment (μB per formula unit): 0.000

***

Entry 3:
Density functional theory data (PBE) for crystalline V2IrRhSe at its relaxed geometry.

Structure (CIF):
```
data_V2IrRhSe
_chemical_formula_sum 'V2 Ir1 Rh1 Se1'
_space_group_name_H-M_alt 'P 1'
_space_group_IT_number 1
_space_group_name_Hall 'P 1'
_cell_length_a 4.5518
_cell_length_b 4.5518
_cell_length_c 4.8725
_cell_angle_alpha 90.00
_cell_angle_beta 90.00
_cell_angle_gamma 90.00
loop_
_atom_site_label
_atom_site_type_symbol
_atom_site_fract_x
_atom_site_fract_y
_atom_site_fract_z
V1 V 0.0000 0.5000 0.0000
V2 V 0.5000 0.0000 0.0000
Ir1 Ir 0.0000 0.0000 0.0000
Rh1 Rh 0.0000 0.0000 0.5000
Se1 Se 0.5000 0.5000 0.5000
```

Results
Energy relative to the elements, uncorrected (eV per formula unit): 5.076
SG: P4/mmm (123)
VASP energy (eV per atom): -6.57
Total magnetic moment (μB per formula unit): 0.001

***

Entry 4:
Density functional theory data (PBE) for crystalline Si2IrRh at its relaxed geometry.

Structure (CIF):
```
data_Si2IrRh
_chemical_formula_sum 'Si2 Ir1 Rh1'
_space_group_name_H-M_alt 'P 1'
_space_group_IT_number 1
_space_group_name_Hall 'P 1'
_cell_length_a 5.2811
_cell_length_b 5.2811
_cell_length_c 5.2811
_cell_angle_alpha 41.75
_cell_angle_beta 41.75
_cell_angle_gamma 41.75
loop_
_atom_site_label
_atom_site_type_symbol
_atom_site_fract_x
_atom_site_fract_y
_atom_site_fract_z
Si1 Si 0.0000 0.0000 0.0000
Si2 Si 0.1716 0.1716 0.1716
Ir1 Ir 0.4105 0.4105 0.4105
Rh1 Rh 0.6021 0.6021 0.6021
```

Results
Energy relative to the elements, uncorrected (eV per formula unit): -2.189
SG: R3m (160)
VASP energy (eV per atom): -7.31
Total magnetic moment (μB per formula unit): 0.000

***

Entry 5:
Density functional theory data (PBE) for crystalline SiIrRh at its relaxed geometry.

Structure (CIF):
```
data_SiIrRh
_chemical_formula_sum 'Si1 Ir1 Rh1'
_space_group_name_H-M_alt 'P 1'
_space_group_IT_number 1
_space_group_name_Hall 'P 1'
_cell_length_a 6.6173
_cell_length_b 6.3298
_cell_length_c 2.8094
_cell_angle_alpha 83.27
_cell_angle_beta 71.80
_cell_angle_gamma 24.94
loop_
_atom_site_label
_atom_site_type_symbol
_atom_site_fract_x
_atom_site_fract_y
_atom_site_fract_z
Si1 Si 0.0000 0.0000 0.0000
Ir1 Ir 0.3477 0.3477 0.6523
Rh1 Rh 0.6467 0.6467 0.3533
```

Results
Energy relative to the elements, uncorrected (eV per formula unit): -0.622
SG: Fmm2 (42)
VASP energy (eV per atom): -7.42
Total magnetic moment (μB per formula unit): 0.000

***

Entry 6:
Density functional theory data (PBE) for crystalline Si2IrRh at its relaxed geometry.

Structure (CIF):
```
data_Si2IrRh
_chemical_formula_sum 'Si2 Ir1 Rh1'
_space_group_name_H-M_alt 'P 1'
_space_group_IT_number 1
_space_group_name_Hall 'P 1'
_cell_length_a 5.0264
_cell_length_b 5.0264
_cell_length_c 5.0264
_cell_angle_alpha 138.89
_cell_angle_beta 138.89
_cell_angle_gamma 59.54
loop_
_atom_site_label
_atom_site_type_symbol
_atom_site_fract_x
_atom_site_fract_y
_atom_site_fract_z
Si1 Si 0.0000 0.0000 0.0000
Si2 Si 0.7500 0.2500 0.5000
Ir1 Ir 0.2500 0.7500 0.5000
Rh1 Rh 0.5000 0.5000 0.0000
```

Results
Energy relative to the elements, uncorrected (eV per formula unit): -1.508
SG: I-4m2 (119)
VASP energy (eV per atom): -7.14
Total magnetic moment (μB per formula unit): 0.000

***

Entry 7:
Density functional theory data (PBE) for crystalline SiIrRh at its relaxed geometry.

Structure (CIF):
```
data_SiIrRh
_chemical_formula_sum 'Si2 Ir2 Rh2'
_space_group_name_H-M_alt 'P 1'
_space_group_IT_number 1
_space_group_name_Hall 'P 1'
_cell_length_a 3.8470
_cell_length_b 3.8470
_cell_length_c 5.9390
_cell_angle_alpha 90.02
_cell_angle_beta 90.02
_cell_angle_gamma 90.00
loop_
_atom_site_label
_atom_site_type_symbol
_atom_site_fract_x
_atom_site_fract_y
_atom_site_fract_z
Si1 Si 0.2504 0.2504 0.2501
Si2 Si 0.7496 0.7496 0.7499
Ir1 Ir 0.2499 0.7501 0.0000
Ir2 Ir 0.7501 0.2499 0.0000
Rh1 Rh 0.2520 0.2520 0.6346
Rh2 Rh 0.7480 0.7480 0.3654
```

Results
Energy relative to the elements, uncorrected (eV per formula unit): -1.434
SG: C2/m (12)
VASP energy (eV per atom): -7.69
Total magnetic moment (μB per formula unit): 0.000

***

Entry 8:
Density functional theory data (PBE) for crystalline SiIrRh at its relaxed geometry.

Structure (CIF):
```
data_SiIrRh
_chemical_formula_sum 'Si1 Ir1 Rh1'
_space_group_name_H-M_alt 'P 1'
_space_group_IT_number 1
_space_group_name_Hall 'P 1'
_cell_length_a 5.3732
_cell_length_b 5.3732
_cell_length_c 5.3732
_cell_angle_alpha 149.08
_cell_angle_beta 149.08
_cell_angle_gamma 44.29
loop_
_atom_site_label
_atom_site_type_symbol
_atom_site_fract_x
_atom_site_fract_y
_atom_site_fract_z
Si1 Si 0.0000 0.0000 0.0000
Ir1 Ir 0.6436 0.6436 0.0000
Rh1 Rh 0.3547 0.3547 0.0000
```

Results
Energy relative to the elements, uncorrected (eV per formula unit): -1.520
SG: I4mm (107)
VASP energy (eV per atom): -7.72
Total magnetic moment (μB per formula unit): 0.000

***

Entry 9:
Density functional theory data (PBE) for crystalline Si3IrRh at its relaxed geometry.

Structure (CIF):
```
data_Si3IrRh
_chemical_formula_sum 'Si6 Ir2 Rh2'
_space_group_name_H-M_alt 'P 1'
_space_group_IT_number 1
_space_group_name_Hall 'P 1'
_cell_length_a 5.3456
_cell_length_b 3.6723
_cell_length_c 7.8102
_cell_angle_alpha 90.00
_cell_angle_beta 91.68
_cell_angle_gamma 90.00
loop_
_atom_site_label
_atom_site_type_symbol
_atom_site_fract_x
_atom_site_fract_y
_atom_site_fract_z
Si1 Si 0.0294 0.2500 0.3734
Si2 Si 0.1981 0.2500 0.9735
Si3 Si 0.4629 0.2500 0.3647
Si4 Si 0.5371 0.7500 0.6353
Si5 Si 0.8019 0.7500 0.0265
Si6 Si 0.9706 0.7500 0.6266
Ir1 Ir 0.2560 0.2500 0.6658
Ir2 Ir 0.7440 0.7500 0.3342
Rh1 Rh 0.2266 0.7500 0.1790
Rh2 Rh 0.7734 0.2500 0.8210
```

Results
Energy relative to the elements, uncorrected (eV per formula unit): -2.384
SG: P2_1/m (11)
VASP energy (eV per atom): -6.97
Total magnetic moment (μB per formula unit): 0.000

***

Entry 10:
Density functional theory data (PBE) for crystalline Si2IrRh at its relaxed geometry.

Structure (CIF):
```
data_Si2IrRh
_chemical_formula_sum 'Si2 Ir1 Rh1'
_space_group_name_H-M_alt 'P 1'
_space_group_IT_number 1
_space_group_name_Hall 'P 1'
_cell_length_a 4.1229
_cell_length_b 4.1229
_cell_length_c 5.0107
_cell_angle_alpha 101.28
_cell_angle_beta 101.28
_cell_angle_gamma 41.10
loop_
_atom_site_label
_atom_site_type_symbol
_atom_site_fract_x
_atom_site_fract_y
_atom_site_fract_z
Si1 Si 0.2494 0.2494 0.2476
Si2 Si 0.7506 0.7506 0.7524
Ir1 Ir 0.5000 0.5000 0.0000
Rh1 Rh 0.0000 0.0000 0.5000
```

Results
Energy relative to the elements, uncorrected (eV per formula unit): -2.028
SG: C2/m (12)
VASP energy (eV per atom): -7.27
Total magnetic moment (μB per formula unit): 0.000

***

Entry 11:
Density functional theory data (PBE) for crystalline Si2IrRh at its relaxed geometry.

Structure (CIF):
```
data_Si2IrRh
_chemical_formula_sum 'Si2 Ir1 Rh1'
_space_group_name_H-M_alt 'P 1'
_space_group_IT_number 1
_space_group_name_Hall 'P 1'
_cell_length_a 4.5339
_cell_length_b 4.5339
_cell_length_c 4.2635
_cell_angle_alpha 102.85
_cell_angle_beta 102.85
_cell_angle_gamma 39.35
loop_
_atom_site_label
_atom_site_type_symbol
_atom_site_fract_x
_atom_site_fract_y
_atom_site_fract_z
Si1 Si 0.0000 0.0000 0.0000
Si2 Si 0.2419 0.2419 0.6439
Ir1 Ir 0.7348 0.7348 0.1196
Rh1 Rh 0.5064 0.5064 0.5284
```

Results
Energy relative to the elements, uncorrected (eV per formula unit): -2.602
SG: Cm (8)
VASP energy (eV per atom): -7.42
Total magnetic moment (μB per formula unit): 0.000

***

Entry 12:
Density functional theory data (PBE) for crystalline SiIrRh at its relaxed geometry.

Structure (CIF):
```
data_SiIrRh
_chemical_formula_sum 'Si1 Ir1 Rh1'
_space_group_name_H-M_alt 'P 1'
_space_group_IT_number 1
_space_group_name_Hall 'P 1'
_cell_length_a 3.9865
_cell_length_b 3.9865
_cell_length_c 3.9865
_cell_angle_alpha 60.00
_cell_angle_beta 60.00
_cell_angle_gamma 60.00
loop_
_atom_site_label
_atom_site_type_symbol
_atom_site_fract_x
_atom_site_fract_y
_atom_site_fract_z
Si1 Si 0.0000 0.0000 0.0000
Ir1 Ir 0.7500 0.7500 0.7500
Rh1 Rh 0.2500 0.2500 0.2500
```

Results
Energy relative to the elements, uncorrected (eV per formula unit): -1.766
SG: F-43m (216)
VASP energy (eV per atom): -7.80
Total magnetic moment (μB per formula unit): 0.000

***

Entry 13:
Density functional theory data (PBE) for crystalline SiIrRh3 at its relaxed geometry.

Structure (CIF):
```
data_SiIrRh3
_chemical_formula_sum 'Si1 Ir1 Rh3'
_space_group_name_H-M_alt 'P 1'
_space_group_IT_number 1
_space_group_name_Hall 'P 1'
_cell_length_a 4.3349
_cell_length_b 4.3349
_cell_length_c 4.3349
_cell_angle_alpha 90.00
_cell_angle_beta 90.00
_cell_angle_gamma 90.00
loop_
_atom_site_label
_atom_site_type_symbol
_atom_site_fract_x
_atom_site_fract_y
_atom_site_fract_z
Si1 Si 0.0000 0.0000 0.0000
Ir1 Ir 0.5000 0.5000 0.5000
Rh1 Rh 0.0000 0.0000 0.5000
Rh2 Rh 0.0000 0.5000 0.0000
Rh3 Rh 0.5000 0.0000 0.0000
```

Results
Energy relative to the elements, uncorrected (eV per formula unit): 3.216
SG: Pm-3m (221)
VASP energy (eV per atom): -6.62
Total magnetic moment (μB per formula unit): 0.000

***

Entry 14:
Density functional theory data (PBE) for crystalline SiIrRh3 at its relaxed geometry.

Structure (CIF):
```
data_SiIrRh3
_chemical_formula_sum 'Si1 Ir1 Rh3'
_space_group_name_H-M_alt 'P 1'
_space_group_IT_number 1
_space_group_name_Hall 'P 1'
_cell_length_a 4.7099
_cell_length_b 4.7099
_cell_length_c 4.7099
_cell_angle_alpha 90.00
_cell_angle_beta 90.00
_cell_angle_gamma 90.00
loop_
_atom_site_label
_atom_site_type_symbol
_atom_site_fract_x
_atom_site_fract_y
_atom_site_fract_z
Si1 Si 0.0000 0.0000 0.0000
Ir1 Ir 0.5000 0.5000 0.5000
Rh1 Rh 0.0000 0.5000 0.5000
Rh2 Rh 0.5000 0.0000 0.5000
Rh3 Rh 0.5000 0.5000 0.0000
```

Results
Energy relative to the elements, uncorrected (eV per formula unit): 7.340
SG: Pm-3m (221)
VASP energy (eV per atom): -5.80
Total magnetic moment (μB per formula unit): 0.000